No. 1
Material: TeRh3Br
Method: DFT, GGA-PBE
State: relaxed

Properties
Total magnetic moment (Bohr magnetons per cell): 0.00
ΔE_f (raw) (meV/atom): 872
Raw total energy (eV per cell): -22.51
Distance to the lowest polymorph of the same formula (eV/f.u.): 0.00

abc: 4.667 4.667 4.667
angles: 90.00 90.00 90.00
Space group Pm-3m (No. 221)
Symmetry-distinct sites (fractional):
Te: 0.000 0.000 0.000 (multiplicity 1)
Rh: 0.000 0.500 0.500 (multiplicity 3)
Br: 0.500 0.500 0.500 (multiplicity 1)

***

No. 2
Material: Te2RhBr2
Method: DFT, GGA-PBE
State: relaxed

Properties
Total magnetic moment (Bohr magnetons per cell): 0.00
ΔE_f (raw) (meV/atom): 276
Raw total energy (eV per cell): -31.20

abc: 3.844 3.844 19.645
angles: 90.00 90.00 90.00
Space group I4/mmm (No. 139)
Symmetry-distinct sites (fractional):
Te: 0.000 0.000 0.068 (multiplicity 4)
Rh: 0.000 0.000 0.500 (multiplicity 2)
Br: 0.000 0.500 0.250 (multiplicity 4)

***

No. 3
Material: TeRh3Br
Method: DFT, GGA-PBE
State: relaxed

Properties
Total magnetic moment (Bohr magnetons per cell): 0.44
ΔE_f (raw) (meV/atom): 910
Raw total energy (eV per cell): -22.32
Distance to the lowest polymorph of the same formula (eV/f.u.): 0.19

abc: 4.915 4.915 4.915
angles: 90.00 90.00 90.00
Space group Pm-3m (No. 221)
Symmetry-distinct sites (fractional):
Te: 0.000 0.000 0.000 (multiplicity 1)
Rh: 0.000 0.000 0.500 (multiplicity 3)
Br: 0.500 0.500 0.500 (multiplicity 1)

***

No. 4
Material: TeRh2Br2
Method: DFT, GGA-PBE
State: relaxed

Properties
Total magnetic moment (Bohr magnetons per cell): 0.00
ΔE_f (raw) (meV/atom): 556
Raw total energy (eV per cell): -36.82
Distance to the lowest polymorph of the same formula (eV/f.u.): 1.76

abc: 4.332 4.332 11.282
angles: 90.00 90.00 90.00
Space group I4/mmm (No. 139)
Symmetry-distinct sites (fractional):
Te: 0.000 0.000 0.000 (multiplicity 2)
Rh: 0.000 0.000 0.386 (multiplicity 4)
Br: 0.000 0.500 0.250 (multiplicity 4)